No. 1
Compound: Rb3Dy3HfS8
Source: Alexandria via LeMat-Bulk
Functional: PBE
Structure: optimized geometry

abc: 9.0806 9.0806 9.0806
angles: 51.89 51.89 51.89
Positions (direct):
Rb1 0.0000 0.5000 0.5000
Rb2 0.5000 0.0000 0.5000
Rb3 0.5000 0.5000 0.0000
Dy1 0.0000 0.0000 0.5000
Dy2 0.0000 0.5000 0.0000
Dy3 0.5000 0.0000 0.0000
Hf1 0.5000 0.5000 0.5000
S1 0.2304 0.2304 0.2304
S2 0.2468 0.7182 0.7182
S3 0.2818 0.2818 0.7532
S4 0.2818 0.7532 0.2818
S5 0.7182 0.2468 0.7182
S6 0.7182 0.7182 0.2468
S7 0.7532 0.2818 0.2818
S8 0.7696 0.7696 0.7696

Calculated values
**Symmetry**: R-3m (166)
**E_form (uncorrected)**: -1.8195 eV/atom

No. 2
Compound: PrTm2Co
Source: Alexandria via LeMat-Bulk
Functional: PBE
Structure: optimized geometry

abc: 3.6323 9.3922 6.3507
angles: 90.00 106.53 90.00
Positions (direct):
Pr1 0.0802 0.2500 0.1599
Pr2 0.9198 0.7500 0.8401
Tm1 0.3561 0.0729 0.7124
Tm2 0.3561 0.4271 0.7124
Tm3 0.6439 0.5729 0.2876
Tm4 0.6439 0.9271 0.2876
Co1 0.2446 0.7500 0.4898
Co2 0.7554 0.2500 0.5102

Calculated values
**Symmetry**: P2_1/m (11)
**Calculated formation energy**: -0.125 eV/atom
**Polymorph energy (0 for the lowest one)**: 32 meV/atom

No. 3
Compound: CdTe2IO
Source: Alexandria via LeMat-Bulk
Functional: PBE
Structure: optimized geometry

abc: 4.8755 4.8755 5.2193
angles: 90.00 90.00 90.00
Positions (direct):
Cd1 0.0000 0.0000 0.0000
Te1 0.0000 0.5000 0.5000
Te2 0.5000 0.0000 0.5000
I1 0.5000 0.5000 0.0000
O1 0.5000 0.5000 0.5000

Calculated values
**Symmetry**: P4/mmm (123)
**E_form (uncorrected)**: 0.2111 eV/atom
**Polymorph energy (0 for the lowest one)**: 0 meV/atom

No. 4
Compound: ZnRhIN2
Source: Alexandria via LeMat-Bulk
Functional: PBE
Structure: optimized geometry

abc: 3.8256 3.8256 7.8969
angles: 90.00 90.00 90.00
Positions (direct):
Zn1 0.0000 0.0000 0.0000
Rh1 0.5000 0.5000 0.5000
I1 0.5000 0.5000 0.0000
N1 0.0000 0.5000 0.5000
N2 0.5000 0.0000 0.5000

Calculated values
**Symmetry**: P4/mmm (123)
**E_form (uncorrected)**: 0.9924 eV/atom
**Polymorph energy (0 for the lowest one)**: 0 meV/atom

No. 5
Compound: Hf4Ge
Source: Alexandria via LeMat-Bulk
Functional: PBE
Structure: optimized geometry

abc: 4.9701 4.9701 4.9701
angles: 90.00 90.00 90.00
Positions (direct):
Hf1 0.0000 0.0000 0.0000
Hf2 0.0000 0.5000 0.5000
Hf3 0.5000 0.0000 0.5000
Hf4 0.5000 0.5000 0.0000
Ge1 0.5000 0.5000 0.5000

Calculated values
**Symmetry**: Pm-3m (221)
**Calculated formation energy**: 0.411 eV/atom

No. 6
Compound: Be2TeRh
Source: Alexandria via LeMat-Bulk
Functional: PBE
Structure: optimized geometry

abc: 4.6283 4.6283 4.6283
angles: 130.70 130.70 72.30
Positions (direct):
Be1 0.2500 0.7500 0.5000
Be2 0.7500 0.2500 0.5000
Te1 0.0000 0.0000 0.0000
Rh1 0.5000 0.5000 0.0000

Calculated values
**Symmetry**: I4/mmm (139)
**E_form (uncorrected)**: 0.1761 eV/atom

No. 7
Compound: Ba6Au3Cl
Source: Alexandria via LeMat-Bulk
Functional: PBE
Structure: optimized geometry

abc: 7.9827 8.7472 14.3331
angles: 90.00 122.23 90.00
Positions (direct):
Ba1 0.0833 0.0492 0.2476
Ba2 0.0833 0.4508 0.7476
Ba3 0.2543 0.6825 0.0836
Ba4 0.2543 0.8175 0.5836
Ba5 0.4062 0.1738 0.0745
Ba6 0.4062 0.3262 0.5745
Ba7 0.5938 0.6738 0.4255
Ba8 0.5938 0.8262 0.9255
Ba9 0.7457 0.1825 0.4164
Ba10 0.7457 0.3175 0.9164
Ba11 0.9167 0.5492 0.2524
Ba12 0.9167 0.9508 0.7524
Au1 0.0000 0.0000 0.0000
Au2 0.0000 0.5000 0.5000
Au3 0.3138 0.1162 0.7555
Au4 0.3138 0.3838 0.2555
Au5 0.6862 0.6162 0.7445
Au6 0.6862 0.8838 0.2445
Cl1 0.5000 0.0000 0.5000
Cl2 0.5000 0.5000 0.0000

Calculated values
**Symmetry**: P2_1/c (14)
**E_form (uncorrected)**: -0.8120 eV/atom

No. 8
Compound: Re2SiPb
Source: Alexandria via LeMat-Bulk
Functional: PBE
Structure: optimized geometry

abc: 4.5687 4.5687 5.7654
angles: 99.91 99.91 39.17
Positions (direct):
Re1 0.0000 0.0000 0.0000
Re2 0.7248 0.7248 0.2266
Si1 0.2695 0.2695 0.9059
Pb1 0.4871 0.4871 0.5235

Calculated values
**Symmetry**: Cm (8)
**E_form (uncorrected)**: 0.5647 eV/atom
**Polymorph energy (0 for the lowest one)**: 215 meV/atom

Number 1: E_tot -86.97 eV/f.u., spin magnetization 0.00 Bohr magnetons per cell. Number 2: E_tot -21.33 eV/f.u., spin magnetization 0.00 Bohr magnetons per cell. Number 3: E_tot -12.65 eV/f.u., spin magnetization 0.00 Bohr magnetons per cell. Number 4: E_tot -21.86 eV/f.u., spin magnetization 0.42 Bohr magnetons per cell. Number 5: E_tot -42.37 eV/f.u., spin magnetization 0.00 Bohr magnetons per cell. Number 6: E_tot -17.24 eV/f.u., spin magnetization 0.00 Bohr magnetons per cell. Number 7: E_tot -31.34 eV/f.u., spin magnetization 0.00 Bohr magnetons per cell. Number 8: E_tot -31.77 eV/f.u., spin magnetization 0.00 Bohr magnetons per cell.